Nd4W6O19 PBE+U relaxed; total moment = 4.0 μB/cell; crystal system = cubic; E_tot = -7.768 eV per atom; D(E_F) = 2.6 states/eV/f.u.
1.0
-5.467 -3.910 -4.404
6.564 1.329 -4.441
1.954 -4.441 6.406
Nd O W
4 19 6
direct
0.000 0.000 0.705 Nd
0.000 0.705 0.000 Nd
0.705 0.000 0.000 Nd
0.295 0.295 0.295 Nd
0.321 0.000 0.321 O
0.741 0.374 0.690 O
0.626 0.366 0.316 O
0.679 0.000 0.679 O
0.684 0.051 0.310 O
0.000 0.679 0.679 O
0.316 0.626 0.366 O
0.374 0.690 0.741 O
0.051 0.310 0.684 O
0.000 0.321 0.321 O
0.690 0.741 0.374 O
0.259 0.949 0.634 O
0.000 0.000 0.000 O
0.366 0.316 0.626 O
0.321 0.321 0.000 O
0.634 0.259 0.949 O
0.310 0.684 0.051 O
0.949 0.634 0.259 O
0.679 0.679 0.000 O
0.360 0.500 0.860 W
0.860 0.360 0.500 W
0.640 0.500 0.140 W
0.500 0.140 0.640 W
0.500 0.860 0.360 W
0.140 0.640 0.500 W